Entry from Alexandria via LeMat-Bulk: a geometry-optimized CsV2H structure (PBE-GGA).

Computed properties:
Uncorrected energy, eV/atom: -3.4924
Size of the total moment, Bohr magnetons per cell: 19.1
DOS at the Fermi energy, states/eV per atom: 1.07

CIF file:
```
data_CsV2H
_chemical_formula_sum 'Cs4 V8 H4'
_cell_length_a 6.505
_cell_length_b 6.505
_cell_length_c 6.505
_cell_angle_alpha 90.00
_cell_angle_beta 90.00
_cell_angle_gamma 90.00
_symmetry_space_group_name_H-M 'F m -3 m'
_symmetry_Int_Tables_number 225
_symmetry_space_group_name_Hall '-F 4 2 3'
loop_
_atom_site_label
_atom_site_type_symbol
_atom_site_fract_x
_atom_site_fract_y
_atom_site_fract_z
_atom_site_occupancy
Cs1 Cs 0.000 0.000 0.000 1
V1 V 0.250 0.250 0.250 1
H1 H 0.000 0.000 0.500 1
```